Ba2LiFeO4: optimized geometry, GGA+U.

POSCAR file:
```
Ba2LiFeO4
1.0
5.469 0.130 0.199
-2.213 5.003 -0.199
-2.213 -2.196 4.500
O Fe Ba Li
4 1 2 1
Cartesian
-1.271 2.622 3.261
1.539 0.807 1.993
-1.511 -0.165 2.959
3.331 2.610 0.787
-2.213 1.404 2.150
0.000 0.000 0.000
0.522 3.269 1.075
0.522 -0.331 3.425
```

## Properties
DFT total energy = -46.57 eV/f.u.